Entry from the Alexandria database: a relaxed structure of CaZr2CuP (PBE).

Properties
Spin magnetization = 0.000 μB/atom
Energy = -4.084 eV/atom
Space-group type = P4/mmm, No. 123

a b c (Å): 5.1804 5.1804 4.4098
angles (deg): 90.00 90.00 90.00
With the nearest neighbours (Å) after each atom.
Fractional coordinates of all 5 atoms:
Ca: 0.0000 0.0000 0.0000  2 Cu 2.20
Zr: 0.0000 0.5000 0.0000  2 Ca 2.59
Zr: 0.5000 0.0000 0.0000  2 Ca 2.59
Cu: 0.0000 0.0000 0.5000  2 Ca 2.20
P: 0.5000 0.5000 0.5000  8 Zr 3.40, 4 Cu 3.66

Entry from the Alexandria database: a relaxed structure of Sm5PdRh4 (PBE).

Properties
Spin magnetization = 0.000 μB/atom
Energy = -6.556 eV/atom
Space-group type = P4/mmm, No. 123

a b c (Å): 3.4976 3.4976 17.7744
angles (deg): 90.00 90.00 90.00
With the nearest neighbours (Å) after each atom.
Fractional coordinates of all 10 atoms:
Sm: 0.0000 0.0000 0.0000  8 Rh 3.04
Sm: 0.0000 0.0000 0.1985  8 Rh 3.04
Sm: 0.0000 0.0000 0.3954  4 Rh 3.01, 4 Pd 3.09
Sm: 0.0000 0.0000 0.6046  4 Rh 3.01, 4 Pd 3.09
Sm: 0.0000 0.0000 0.8015  8 Rh 3.04
Pd: 0.5000 0.5000 0.5000  8 Sm 3.09
Rh: 0.5000 0.5000 0.0993  8 Sm 3.04
Rh: 0.5000 0.5000 0.2985  8 Sm 3.01-3.04
Rh: 0.5000 0.5000 0.7015  8 Sm 3.01-3.04
Rh: 0.5000 0.5000 0.9007  8 Sm 3.04

Entry from the Alexandria database: a relaxed structure of Al2VW (PBE).

Properties
Spin magnetization = 0.000 μB/atom
Energy = -6.923 eV/atom
Space-group type = I-42d, No. 122

a b c (Å): 5.5615 5.5615 5.5615
angles (deg): 103.39 103.39 122.48
With the nearest neighbours (Å) after each atom.
Fractional coordinates of all 8 atoms:
Al: 0.1164 0.6250 0.9914  2 V 2.49, 2 W 2.57, 2 Al 2.68
Al: 0.3750 0.3664 0.4914  2 V 2.49, 2 W 2.57, 2 Al 2.68
Al: 0.6336 0.1250 0.0086  2 V 2.49, 2 W 2.57, 2 Al 2.68
Al: 0.8750 0.8836 0.5086  2 V 2.49, 2 W 2.57, 2 Al 2.68
V: 0.0000 0.0000 0.0000  4 Al 2.49, 2 W 2.68
V: 0.7500 0.2500 0.5000  4 Al 2.49, 2 W 2.68
W: 0.2500 0.7500 0.5000  4 Al 2.57, 2 V 2.68
W: 0.5000 0.5000 0.0000  4 Al 2.57, 2 V 2.68

Entry from the Alexandria database: a relaxed structure of Cu4Pd2Pt (PBE).

Properties
Spin magnetization = 0.000 μB/atom
Energy = -4.726 eV/atom
Space-group type = C2/m, No. 12

a b c (Å): 8.5669 8.5669 4.4502
angles (deg): 104.96 104.96 18.12
With the nearest neighbours (Å) after each atom.
Fractional coordinates of all 7 atoms:
Cu: 0.0811 0.0811 0.0804  2 Pt 2.59, 7 Cu 2.65-2.75, 2 Pd 2.65
Cu: 0.3643 0.3643 0.3645  2 Pt 2.60, 4 Pd 2.62-2.70, 6 Cu 2.70-2.75
Cu: 0.6357 0.6357 0.6355  2 Pt 2.60, 4 Pd 2.62-2.70, 6 Cu 2.70-2.75
Cu: 0.9189 0.9189 0.9196  2 Pt 2.59, 7 Cu 2.65-2.75, 2 Pd 2.65
Pd: 0.2789 0.2789 0.7788  6 Cu 2.62-2.70, 6 Pd 2.70-2.77
Pd: 0.7211 0.7211 0.2212  6 Cu 2.62-2.70, 6 Pd 2.70-2.77
Pt: 0.0000 0.0000 0.5000  8 Cu 2.59-2.60, 2 Pt 2.70

Entry from the Alexandria database: a relaxed structure of Ba2CuAsP (PBE).

Properties
Spin magnetization = 0.000 μB/atom
Energy = -4.197 eV/atom
Space-group type = P4/mmm, No. 123

a b c (Å): 6.2394 6.2394 4.2200
angles (deg): 90.00 90.00 90.00
With the nearest neighbours (Å) after each atom.
Fractional coordinates of all 5 atoms:
Ba: 0.0000 0.5000 0.0000  2 P 3.12
Ba: 0.5000 0.0000 0.0000  2 P 3.12
Cu: 0.0000 0.0000 0.5000  2 P 2.11
As: 0.5000 0.5000 0.5000  8 Ba 3.77
P: 0.0000 0.0000 0.0000  2 Cu 2.11

Entry from the Alexandria database: a relaxed structure of NdDy2YAs4 (PBE).

Properties
Spin magnetization = 0.000 μB/atom
Energy = -6.409 eV/atom
Space-group type = P2/m, No. 10

a b c (Å): 7.2032 4.1621 7.2042
angles (deg): 90.00 109.47 90.00
With the nearest neighbours (Å) after each atom.
Fractional coordinates of all 8 atoms:
Nd: 0.0000 0.0000 0.0000  6 As 2.98
Dy: 0.0000 0.5000 0.5000  6 As 2.94
Dy: 0.5000 0.0000 0.5000  6 As 2.90-2.91
Y: 0.5000 0.5000 0.0000  6 As 2.94-2.95
As: 0.2526 0.0000 0.7464  3 Dy 2.90-2.94, 2 Y 2.95, 1 Nd 2.98
As: 0.2561 0.5000 0.2565  3 Dy 2.91-2.94, 1 Y 2.94, 2 Nd 2.98
As: 0.7439 0.5000 0.7435  3 Dy 2.91-2.94, 1 Y 2.94, 2 Nd 2.98
As: 0.7474 0.0000 0.2536  3 Dy 2.90-2.94, 2 Y 2.95, 1 Nd 2.98

Entry from the Alexandria database: a relaxed structure of LiMnRh2C (PBE).

Properties
Spin magnetization = 0.165 μB/atom
Energy = -6.547 eV/atom
Space-group type = P4/mmm, No. 123

a b c (Å): 3.9673 3.9673 4.0151
angles (deg): 90.00 90.00 90.00
With the nearest neighbours (Å) after each atom.
Fractional coordinates of all 5 atoms:
Li: 0.0000 0.0000 0.0000  2 C 2.01
Mn: 0.5000 0.5000 0.0000  4 Li 2.81, 8 Rh 2.82
Rh: 0.0000 0.5000 0.5000  2 C 1.98
Rh: 0.5000 0.0000 0.5000  2 C 1.98
C: 0.0000 0.0000 0.5000  4 Rh 1.98, 2 Li 2.01

Entry from the Alexandria database: a relaxed structure of Zn3NF (PBE).

Properties
Spin magnetization = 0.000 μB/atom
Energy = -2.901 eV/atom
Space-group type = Pm-3m, No. 221

a b c (Å): 4.1883 4.1883 4.1883
angles (deg): 90.00 90.00 90.00
With the nearest neighbours (Å) after each atom.
Fractional coordinates of all 5 atoms:
Zn: 0.0000 0.0000 0.5000  2 N 2.09
Zn: 0.0000 0.5000 0.0000  2 N 2.09
Zn: 0.5000 0.0000 0.0000  2 N 2.09
N: 0.0000 0.0000 0.0000  6 Zn 2.09
F: 0.5000 0.5000 0.5000  12 Zn 2.96

Entry from the Alexandria database: a relaxed structure of Ba4IrBr (PBE).

Properties
Spin magnetization = 0.000 μB/atom
Energy = -2.497 eV/atom
Space-group type = F-43m, No. 216

a b c (Å): 6.9466 6.9466 6.9466
angles (deg): 60.00 60.00 60.00
With the nearest neighbours (Å) after each atom.
Fractional coordinates of all 6 atoms:
Ba: 0.3758 0.3758 0.3758  6 Ba 3.45-3.50
Ba: 0.3758 0.3758 0.8726  6 Ba 3.45-3.50
Ba: 0.3758 0.8726 0.3758  6 Ba 3.45-3.50
Ba: 0.8726 0.3758 0.3758  6 Ba 3.45-3.50
Ir: 0.7500 0.7500 0.7500  12 Ba 4.07, 4 Br 4.25
Br: 0.0000 0.0000 0.0000  12 Ba 4.08, 4 Ir 4.25

Entry from the Alexandria database: a relaxed structure of Tc2PtW (PBE).

Properties
Spin magnetization = 0.000 μB/atom
Energy = -9.951 eV/atom
Space-group type = R3m, No. 160

a b c (Å): 9.3372 9.3372 9.3372
angles (deg): 17.04 17.04 17.04
With the nearest neighbours (Å) after each atom.
Fractional coordinates of all 4 atoms:
Tc: 0.0000 0.0000 0.0000  9 Tc 2.66-2.77, 3 Pt 2.86
Tc: 0.2564 0.2564 0.2564  9 Tc 2.66-2.77, 3 W 2.87
Pt: 0.7526 0.7526 0.7526  6 Pt 2.77, 3 W 2.81, 3 Tc 2.86
W: 0.5032 0.5032 0.5032  6 W 2.77, 3 Pt 2.81, 3 Tc 2.87

Entry from the Alexandria database: a relaxed structure of YPuRu4 (PBE).

Properties
Spin magnetization = 0.543 μB/atom
Energy = -9.854 eV/atom
Space-group type = F-43m, No. 216

a b c (Å): 5.3335 5.3335 5.3335
angles (deg): 60.00 60.00 60.00
With the nearest neighbours (Å) after each atom.
Fractional coordinates of all 6 atoms:
Y: 0.0000 0.0000 0.0000  12 Ru 3.13, 4 Pu 3.27
Pu: 0.7500 0.7500 0.7500  12 Ru 3.13, 4 Y 3.27
Ru: 0.3751 0.3751 0.3751  6 Ru 2.67
Ru: 0.3751 0.3751 0.8748  6 Ru 2.67
Ru: 0.3751 0.8748 0.3751  6 Ru 2.67
Ru: 0.8748 0.3751 0.3751  6 Ru 2.67

Entry from the Alexandria database: a relaxed structure of TiH3Au (PBE).

Properties
Spin magnetization = 0.000 μB/atom
Energy = -3.903 eV/atom
Space-group type = Pm-3m, No. 221

a b c (Å): 3.6107 3.6107 3.6107
angles (deg): 90.00 90.00 90.00
With the nearest neighbours (Å) after each atom.
Fractional coordinates of all 5 atoms:
Ti: 0.0000 0.0000 0.0000  12 H 2.55
H: 0.0000 0.5000 0.5000  2 Au 1.81
H: 0.5000 0.0000 0.5000  2 Au 1.81
H: 0.5000 0.5000 0.0000  2 Au 1.81
Au: 0.5000 0.5000 0.5000  6 H 1.81